(P)
This record from the Alexandria database describes a relaxed Be2VCu2 crystal. The functional is PBE-GGA.

Properties
**Magnetization**: 3.47 μB/cell
**N(E_F)**: 6.66 states/eV per cell

Cell lengths 3.2903, 3.2903, 10.7267 Å; angles 90.00, 90.00, 90.00 degrees
With the nearest neighbours (Å) after each atom.
Space group I4/mmm (No. 139)
Symmetry-distinct sites (fractional):
Be1 0.0000 0.5000 0.2500  4 Cu 2.23, 4 Be 2.33
V1 0.0000 0.0000 0.0000  8 Cu 2.61
Cu1 0.0000 0.0000 0.3904  4 Be 2.23, 1 Cu 2.35

=====

(Q)
This record from the Alexandria database describes a relaxed Be2VCu2 crystal. The functional is PBE-GGA.

Properties
**Magnetization**: 1.44 μB/cell
**N(E_F)**: 5.49 states/eV per cell

Cell lengths 6.5959, 6.5959, 2.4500 Å; angles 90.00, 90.00, 90.00 degrees
With the nearest neighbours (Å) after each atom.
Space group P4/mbm (No. 127)
Symmetry-distinct sites (fractional):
Be1 0.1251 0.3749 0.0000  6 Cu 2.27-2.32, 3 Be 2.33-2.45
V1 0.0000 0.0000 0.0000  2 V 2.45, 4 Be 2.61, 8 Cu 2.74
Cu1 0.1695 0.6695 0.5000  6 Be 2.27-2.32, 2 Cu 2.45

=====

Best to worst by energy: (Q), (P).